{"formula": "LiCaSbS3", "functional": "PBE", "state": "relaxed", "crystal_system": "monoclinic", "space_group": "P2_1/m", "mass_density_g_cm3": 3.14, "formation_energy_uncorrected_mev_per_atom": -1145.8, "dft_energy_ev_per_atom": -4.55, "lattice": [[7.092, 0.000, 0.000], [0.000, 3.982, 0.000], [-1.986, 0.000, 9.925]], "species": ["Li", "Li", "Ca", "Ca", "Sb", "Sb", "S", "S", "S", "S", "S", "S"], "frac_coords": [[0.147, 0.250, 0.066], [0.853, 0.750, 0.934], [0.127, 0.750, 0.674], [0.873, 0.250, 0.326], [0.377, 0.750, 0.326], [0.623, 0.250, 0.674], [0.022, 0.750, 0.173], [0.241, 0.250, 0.506], [0.484, 0.250, 0.183], [0.516, 0.750, 0.817], [0.759, 0.750, 0.494], [0.978, 0.250, 0.827]]}